1.
DFT (PBE) results for an optimized crystal structure of La3Sn5Sb12.

The formation energy without anion corrections is -0.131 eV/atom. For the total DFT energy (no corrections), the calculation gives -4.3444 eV per atom. As for the volume: 37.115 Å³ per atom.

The structure belongs to space group Ia-3d (No. 230); the cell edges are 18.1088, 18.1088 and 18.1088 Å and the angles 90.00°, 90.00° and 90.00°. Symmetry generates all atoms from La at (0.0000, 0.2500, 0.1250), Sn at (0.0000, 0.0000, 0.0000), Sn at (0.0000, 0.2500, 0.3750) and Sb at (0.0172, 0.0790, 0.6620).

---

2.
DFT (PBE) results for an optimized crystal structure of BeAlCdTe2.

The formation energy without anion corrections is 0.301 eV/atom. For the total DFT energy (no corrections), the calculation gives -2.6320 eV per atom. As for the volume: 24.429 Å³ per atom.

The structure belongs to space group P4/mmm (No. 123); the cell edges are 5.2488, 5.2488 and 4.4337 Å and the angles 90.00°, 90.00° and 90.00°. Symmetry generates all atoms from Be at (0.0000, 0.0000, 0.0000), Al at (0.0000, 0.0000, 0.5000), Cd at (0.5000, 0.5000, 0.5000) and Te at (0.0000, 0.5000, 0.0000).

---

3.
DFT (PBE) results for an optimized crystal structure of CaGd2Bi.

For the total DFT energy (no corrections), the calculation gives -8.8788 eV per atom. As for the volume: 30.810 Å³ per atom. The calculation puts the energy above the lowest structure with this stoichiometry at 2 meV/atom. For the formation energy, the calculation gives -1.47 eV per formula unit.

The structure belongs to space group P4/mmm (No. 123); the cell edges are 4.9003, 4.9003 and 5.1324 Å and the angles 90.00°, 90.00° and 90.00°. Symmetry generates all atoms from Ca at (0.0000, 0.0000, 0.0000), Gd at (0.0000, 0.5000, 0.5000) and Bi at (0.5000, 0.5000, 0.0000).

---

4.
DFT (PBE) results for an optimized crystal structure of Pm2TiGa4Pd3.

For the total DFT energy (no corrections), the calculation gives -5.2083 eV per atom. As for the volume: 19.514 Å³ per atom. For the formation energy, the calculation gives -7.00 eV per formula unit.

The structure belongs to space group P-4m2 (No. 115); the cell edges are 4.1715, 4.1715 and 11.2143 Å and the angles 90.00°, 90.00° and 90.00°. Symmetry generates all atoms from Pm at (0.0000, 0.5000, 0.2493), Ti at (0.0000, 0.0000, 0.5000), Ga at (0.0000, 0.0000, 0.0000), Ga at (0.0000, 0.5000, 0.6436), Ga at (0.5000, 0.5000, 0.0000), Pd at (0.0000, 0.5000, 0.8678) and Pd at (0.5000, 0.5000, 0.5000).

---

5.
DFT (PBE) results for an optimized crystal structure of CePa2Pt4.

For the total DFT energy (no corrections), the calculation gives -8.0362 eV per atom. As for the volume: 21.751 Å³ per atom. For the formation energy, the calculation gives -7.16 eV per formula unit.

The structure belongs to space group P2_1/m (No. 11); the cell edges are 3.8939, 14.5925 and 5.6988 Å and the angles 90.00°, 109.88° and 90.00°. Symmetry generates all atoms from Ce at (0.0726, 0.2500, 0.1463), Pa at (0.3439, 0.0960, 0.6895), Pt at (0.0000, 0.0000, 0.0000), Pt at (0.1907, 0.7500, 0.3801) and Pt at (0.3637, 0.6019, 0.7256).

---

6.
DFT (PBE) results for an optimized crystal structure of Ho6Er7.

For the total DFT energy (no corrections), the calculation gives -4.3014 eV per atom. As for the volume: 32.121 Å³ per atom. For the formation energy, the calculation gives 3.49 eV per formula unit.

The structure belongs to space group R-3m (No. 166, hexagonal axes); the cell edges are 6.4647, 6.4647 and 34.6116 Å and the angles 90.00°, 90.00° and 120.00°. Symmetry generates all atoms from Ho at (0.0000, 0.0000, 0.0465), Ho at (0.0000, 0.0000, 0.1481), Ho at (0.0000, 0.0000, 0.3332), Er at (0.0000, 0.0000, 0.5000) and Er at (0.0034, 0.5017, 0.9118).

---

7.
DFT (PBE) results for an optimized crystal structure of NaFe3Ag.

For the total DFT energy (no corrections), the calculation gives -4.5127 eV per atom. As for the volume: 22.627 Å³ per atom. The calculation puts the energy above the lowest structure with this stoichiometry at 0 meV/atom. For the formation energy, the calculation gives 7.00 eV per formula unit.

The structure belongs to space group Pm-3m (No. 221); the cell edges are 4.8365, 4.8365 and 4.8365 Å and the angles 90.00°, 90.00° and 90.00°. Symmetry generates all atoms from Na at (0.0000, 0.0000, 0.0000), Fe at (0.0000, 0.5000, 0.5000) and Ag at (0.5000, 0.5000, 0.5000).

---

8.
DFT (PBE) results for an optimized crystal structure of SiHg2PAu.

The formation energy without anion corrections is 0.914 eV/atom. For the total DFT energy (no corrections), the calculation gives -2.0285 eV per atom. As for the volume: 26.984 Å³ per atom.

The structure belongs to space group P4/mmm (No. 123); the cell edges are 5.3377, 5.3377 and 4.7355 Å and the angles 90.00°, 90.00° and 90.00°. Symmetry generates all atoms from Si at (0.0000, 0.0000, 0.0000), Hg at (0.0000, 0.5000, 0.5000), P at (0.5000, 0.5000, 0.0000) and Au at (0.5000, 0.5000, 0.5000).

---

9.
DFT (PBE) results for an optimized crystal structure of GdPaRuPt.

For the total DFT energy (no corrections), the calculation gives -10.3270 eV per atom. As for the volume: 21.004 Å³ per atom. For the formation energy, the calculation gives -2.41 eV per formula unit.

The structure belongs to space group F-43m (No. 216); the cell edges are 6.9525, 6.9525 and 6.9525 Å and the angles 90.00°, 90.00° and 90.00°. Symmetry generates all atoms from Gd at (0.0000, 0.0000, 0.0000), Pa at (0.0000, 0.0000, 0.5000), Ru at (0.2500, 0.2500, 0.7500) and Pt at (0.2500, 0.2500, 0.2500).

---

10.
DFT (PBE) results for an optimized crystal structure of Mg8Sn2Pd.

For the total DFT energy (no corrections), the calculation gives -2.5868 eV per atom. As for the volume: 22.143 Å³ per atom. For the formation energy, the calculation gives -2.50 eV per formula unit.

The structure belongs to space group C2/m (No. 12); the cell edges are 16.0762, 4.8284 and 6.8247 Å and the angles 90.00°, 113.13° and 90.00°. Symmetry generates all atoms from Mg at (0.0138, 0.0000, 0.2902), Mg at (0.1093, 0.5000, 0.9059), Mg at (0.1481, 0.5000, 0.4148), Mg at (0.1831, 0.0000, 0.7300), Sn at (0.1805, 0.0000, 0.1780) and Pd at (0.0000, 0.5000, 0.5000).

---

11.
DFT (PBE) results for an optimized crystal structure of Sb3S4.

The formation energy without anion corrections is -0.113 eV/atom. For the total DFT energy (no corrections), the calculation gives -4.2380 eV per atom. As for the volume: 27.435 Å³ per atom.

The structure belongs to space group C2/m (No. 12); the cell edges are 15.3256, 3.8448 and 7.0828 Å and the angles 90.00°, 113.03° and 90.00°. Symmetry generates all atoms from Sb at (0.0000, 0.0000, 0.0000), Sb at (0.2442, 0.5000, 0.7287), S at (0.1255, 0.5000, 0.9895) and S at (0.1411, 0.0000, 0.4618).

---

12.
DFT (PBE) results for an optimized crystal structure of AgAsCl2.

The formation energy without anion corrections is 0.383 eV/atom. For the total DFT energy (no corrections), the calculation gives -2.4160 eV per atom. As for the volume: 20.151 Å³ per atom. The calculation puts the energy above the lowest structure with this stoichiometry at 671 meV/atom.

The structure belongs to space group F-43m (No. 216); the cell edges are 6.8571, 6.8571 and 6.8571 Å and the angles 90.00°, 90.00° and 90.00°. Symmetry generates all atoms from Ag at (0.0000, 0.0000, 0.0000), As at (0.2500, 0.2500, 0.7500), Cl at (0.0000, 0.0000, 0.5000) and Cl at (0.2500, 0.2500, 0.2500).

---

13.
DFT (PBE) results for an optimized crystal structure of FeCuSe2.

The formation energy without anion corrections is 0.228 eV/atom. For the total DFT energy (no corrections), the calculation gives -4.6538 eV per atom. As for the volume: 15.742 Å³ per atom.

The structure belongs to space group P4/mmm (No. 123); the cell edges are 3.1474, 3.1474 and 6.3565 Å and the angles 90.00°, 90.00° and 90.00°. Symmetry generates all atoms from Fe at (0.0000, 0.0000, 0.0000), Cu at (0.0000, 0.0000, 0.5000) and Se at (0.5000, 0.5000, 0.2353).

---

14.
DFT (PBE) results for an optimized crystal structure of PmHfNi.

For the total DFT energy (no corrections), the calculation gives -6.7928 eV per atom. As for the volume: 23.150 Å³ per atom. The calculation puts the energy above the lowest structure with this stoichiometry at 194 meV/atom. For the formation energy, the calculation gives 0.11 eV per formula unit.

The structure belongs to space group P-6m2 (No. 187); the cell edges are 3.5741, 3.5741 and 12.5538 Å and the angles 90.00°, 90.00° and 120.00°. Symmetry generates all atoms from Pm at (0.0000, 0.0000, 0.1530), Hf at (0.6667, 0.3333, 0.3747), Ni at (0.0000, 0.0000, 0.5000) and Ni at (0.6667, 0.3333, 0.0000).

---

15.
DFT (PBE) results for an optimized crystal structure of Cr4GeMo.

For the total DFT energy (no corrections), the calculation gives -8.8877 eV per atom. As for the volume: 12.857 Å³ per atom. For the formation energy, the calculation gives 0.62 eV per formula unit.

The structure belongs to space group F-43m (No. 216); the cell edges are 6.7574, 6.7574 and 6.7574 Å and the angles 90.00°, 90.00° and 90.00°. Symmetry generates all atoms from Cr at (0.1244, 0.1244, 0.3756), Ge at (0.2500, 0.2500, 0.7500) and Mo at (0.0000, 0.0000, 0.0000).

---

16.
DFT (PBE) results for an optimized crystal structure of Cs3Sr2IrO6.

The formation energy without anion corrections is -1.572 eV/atom. For the total DFT energy (no corrections), the calculation gives -5.2832 eV per atom. As for the volume: 19.165 Å³ per atom.

The structure belongs to space group C2/m (No. 12); the cell edges are 6.2898, 10.8798 and 7.0291 Å and the angles 90.00°, 107.01° and 90.00°. Symmetry generates all atoms from Cs at (0.0000, 0.0000, 0.0000), Cs at (0.0000, 0.3343, 0.0000), Sr at (0.0000, 0.1665, 0.5000), Ir at (0.0000, 0.5000, 0.5000), O at (0.1928, 0.3635, 0.6663) and O at (0.2191, 0.5000, 0.3275).

---

17.
DFT (PBE) results for an optimized crystal structure of LuPbAu2.

For the total DFT energy (no corrections), the calculation gives -4.2753 eV per atom. As for the volume: 23.062 Å³ per atom. For the formation energy, the calculation gives -2.32 eV per formula unit.

The structure belongs to space group P4/mmm (No. 123); the cell edges are 3.5936, 3.5936 and 7.1434 Å and the angles 90.00°, 90.00° and 90.00°. Symmetry generates all atoms from Lu at (0.0000, 0.0000, 0.0000), Pb at (0.0000, 0.0000, 0.5000) and Au at (0.5000, 0.5000, 0.2168).

---

18.
DFT (PBE) results for an optimized crystal structure of CaYHg.

For the total DFT energy (no corrections), the calculation gives -3.1007 eV per atom. As for the volume: 32.490 Å³ per atom. The calculation puts the energy above the lowest structure with this stoichiometry at 137 meV/atom. For the formation energy, the calculation gives -0.53 eV per formula unit.

The structure belongs to space group F-43m (No. 216); the cell edges are 7.3054, 7.3054 and 7.3054 Å and the angles 90.00°, 90.00° and 90.00°. Symmetry generates all atoms from Ca at (0.0000, 0.0000, 0.0000), Y at (0.0000, 0.0000, 0.5000) and Hg at (0.2500, 0.2500, 0.2500).

---

19.
DFT (PBE) results for an optimized crystal structure of Pm9Al2In.

For the total DFT energy (no corrections), the calculation gives -4.6186 eV per atom. As for the volume: 29.366 Å³ per atom. For the formation energy, the calculation gives -2.44 eV per formula unit.

The structure belongs to space group P4/mmm (No. 123); the cell edges are 4.8973, 4.8973 and 14.6931 Å and the angles 90.00°, 90.00° and 90.00°. Symmetry generates all atoms from Pm at (0.0000, 0.0000, 0.0000), Pm at (0.0000, 0.0000, 0.3362), Pm at (0.0000, 0.5000, 0.1719), Pm at (0.0000, 0.5000, 0.5000), Al at (0.5000, 0.5000, 0.3345) and In at (0.5000, 0.5000, 0.0000).

---

20.
DFT (PBE) results for an optimized crystal structure of Rb5NaTeO2.

The formation energy without anion corrections is -0.983 eV/atom. For the total DFT energy (no corrections), the calculation gives -3.1177 eV per atom. As for the volume: 36.912 Å³ per atom.

The structure belongs to space group P4/mmm (No. 123); the cell edges are 5.6356, 5.6356 and 10.4600 Å and the angles 90.00°, 90.00° and 90.00°. Symmetry generates all atoms from Rb at (0.0000, 0.0000, 0.0000), Rb at (0.0000, 0.5000, 0.2421), Na at (0.0000, 0.0000, 0.5000), Te at (0.5000, 0.5000, 0.0000) and O at (0.0000, 0.0000, 0.2902).

---

21.
DFT (PBE) results for an optimized crystal structure of LaVN3.

The formation energy without anion corrections is -0.983 eV/atom. For the total DFT energy (no corrections), the calculation gives -8.7870 eV per atom. As for the volume: 12.867 Å³ per atom.

The structure belongs to space group P2_1/c (No. 14); the cell edges are 6.7843, 5.4521 and 8.6873 Å and the angles 90.00°, 126.79° and 90.00°. Symmetry generates all atoms from La at (0.2364, 0.2451, 0.1264), V at (0.2245, 0.7235, 0.3335), N at (0.0647, 0.0143, 0.3090), N at (0.2691, 0.7224, 0.6560) and N at (0.4302, 0.1066, 0.9677).